No. 1
This record from the Alexandria database describes a relaxed structure of KAsRh2. The functional is GGA-PBEsol.

Cell and atoms, written as CIF:
```
data_KAsRh2
_chemical_formula_sum 'K2 As2 Rh4'
_cell_length_a 3.900
_cell_length_b 3.900
_cell_length_c 8.639
_cell_angle_alpha 90.00
_cell_angle_beta 90.00
_cell_angle_gamma 90.00
_symmetry_space_group_name_H-M 'I -4 m 2'
_symmetry_Int_Tables_number 119
_symmetry_space_group_name_Hall 'I -4 -2'
loop_
_atom_site_label
_atom_site_type_symbol
_atom_site_fract_x
_atom_site_fract_y
_atom_site_fract_z
K1 K 0.000 0.000 0.000
As1 As 0.000 0.500 0.750
Rh1 Rh 0.000 0.000 0.500
Rh2 Rh 0.000 0.500 0.250
```

Output
For the density of states at the Fermi level, the calculation gives 9.2 states/eV per cell. The value obtained for the formation energy from the elements is 0.6058 eV per atom. The total energy is -5.0233 eV per atom.

=====

No. 2
This record from the Alexandria database describes a relaxed structure of NiRuPt2. The functional is GGA-PBEsol.

Cell and atoms, written as CIF:
```
data_NiRuPt2
_chemical_formula_sum 'Ni1 Ru1 Pt2'
_cell_length_a 2.690
_cell_length_b 2.690
_cell_length_c 7.427
_cell_angle_alpha 90.00
_cell_angle_beta 90.00
_cell_angle_gamma 90.00
_symmetry_space_group_name_H-M 'P 4 m m'
_symmetry_Int_Tables_number 99
_symmetry_space_group_name_Hall 'P 4 -2'
loop_
_atom_site_label
_atom_site_type_symbol
_atom_site_fract_x
_atom_site_fract_y
_atom_site_fract_z
Ni1 Ni 0.000 0.000 0.000
Ru1 Ru 0.500 0.500 0.778
Pt1 Pt 0.000 0.000 0.521
Pt2 Pt 0.500 0.500 0.241
```

Output
For the density of states at the Fermi level, the calculation gives 4.0 states/eV per cell. The energy above the lowest structure with this stoichiometry comes out at 24 meV/atom. The value obtained for the formation energy from the elements is 0.0021 eV per atom. The total energy is -7.5621 eV per atom.

=====

Repeat the second record exactly.
This record from the Alexandria database describes a relaxed structure of NiRuPt2. The functional is GGA-PBEsol.

Cell and atoms, written as CIF:
```
data_NiRuPt2
_chemical_formula_sum 'Ni1 Ru1 Pt2'
_cell_length_a 2.690
_cell_length_b 2.690
_cell_length_c 7.427
_cell_angle_alpha 90.00
_cell_angle_beta 90.00
_cell_angle_gamma 90.00
_symmetry_space_group_name_H-M 'P 4 m m'
_symmetry_Int_Tables_number 99
_symmetry_space_group_name_Hall 'P 4 -2'
loop_
_atom_site_label
_atom_site_type_symbol
_atom_site_fract_x
_atom_site_fract_y
_atom_site_fract_z
Ni1 Ni 0.000 0.000 0.000
Ru1 Ru 0.500 0.500 0.778
Pt1 Pt 0.000 0.000 0.521
Pt2 Pt 0.500 0.500 0.241
```

Output
For the density of states at the Fermi level, the calculation gives 4.0 states/eV per cell. The energy above the lowest structure with this stoichiometry comes out at 24 meV/atom. The value obtained for the formation energy from the elements is 0.0021 eV per atom. The total energy is -7.5621 eV per atom.

=====

> Look up the formation energy from the elements of the second one.

0.0021 eV per atom